PaNi2Pt6 | PBE | optimized geometry Values from VASP.

Computed properties:
**Symmetry**: C2/m
**ΔH_f (0 K)**: -422 meV/atom
**Size of the total moment**: 0.00 μB/cell

```
&SYSTEM
  ibrav = 0, nat = 9, ntyp = 3
/
ATOMIC_SPECIES
Pa 231.04 Pa.upf
Ni 58.69 Ni.upf
Pt 195.08 Pt.upf
CELL_PARAMETERS angstrom
-0.0752 4.2798 1.8205
-0.9099 0.2487 5.3202
6.2655 1.9570 1.6008
ATOMIC_POSITIONS crystal
Pa 0.0000 0.5000 0.5000
Ni 0.3037 0.6202 0.7725
Ni 0.6963 0.3798 0.2275
Pt 0.6676 0.7345 0.9303
Pt 0.3324 0.2655 0.0697
Pt 0.9971 0.8349 0.1710
Pt 0.3524 0.8864 0.4087
Pt 0.0029 0.1651 0.8290
Pt 0.6476 0.1136 0.5913
```